Entry 1:
{"formula": "Y2AlCdC", "functional": "PBE", "state": "optimized geometry", "cell": [[-2.6417, 0.0373, -4.3081], [-1.0371, -4.9104, 0.5935], [-3.3080, 0.9448, 2.0367]], "species": ["Y", "Y", "C", "Al", "Cd"], "frac_coords": [[0.0000, 0.5000, 0.0000], [0.5000, 0.0000, 0.0000], [0.0000, 0.0000, 0.0000], [0.0000, 0.0000, 0.5000], [0.5000, 0.5000, 0.5000]], "delta_e_f_ev_per_atom": -0.322}


Entry 2:
{"formula": "ErTm2Sc3P6", "functional": "PBE", "state": "optimized geometry", "cell": [[-0.9562, -5.6962, -3.3661], [0.3224, -0.0771, 6.6770], [-6.0095, 2.7828, -0.7919]], "species": ["Er", "Tm", "Tm", "Sc", "Sc", "Sc", "P", "P", "P", "P", "P", "P"], "frac_coords": [[0.0000, 0.0000, 0.0000], [0.3333, 0.6667, 0.0000], [0.6667, 0.3333, 0.0000], [0.1665, 0.8335, 0.5000], [0.8335, 0.1665, 0.5000], [0.5000, 0.5000, 0.5000], [0.9126, 0.5786, 0.7380], [0.7533, 0.7533, 0.2620], [0.0874, 0.4214, 0.2620], [0.5786, 0.9126, 0.7380], [0.2467, 0.2467, 0.7380], [0.4214, 0.0874, 0.2620]], "delta_e_f_ev_per_atom": -1.539}


Entry 3:
{"formula": "RbNaGa2Ni", "functional": "PBE", "state": "optimized geometry", "cell": [[4.6951, 0.0000, 0.0000], [0.0000, 4.6951, 0.0000], [0.0000, 0.0000, 5.5960]], "species": ["Ni", "Ga", "Ga", "Rb", "Na"], "frac_coords": [[0.0000, 0.0000, 0.0000], [0.0000, 0.5000, 0.0000], [0.5000, 0.0000, 0.0000], [0.5000, 0.5000, 0.5000], [0.0000, 0.0000, 0.5000]], "delta_e_f_ev_per_atom": -0.058}


Entry 4:
{"formula": "KRu2W", "functional": "PBE", "state": "optimized geometry", "cell": [[-3.3762, 2.7846, -4.1700], [-5.8511, 1.2913, 0.7993], [5.8980, 0.4929, 1.2298]], "species": ["K", "Ru", "Ru", "W"], "frac_coords": [[0.2447, 0.7447, 0.5000], [0.9619, 0.9619, 0.0000], [0.7563, 0.2563, 0.5000], [0.5371, 0.5371, 0.0000]], "delta_e_f_ev_per_atom": 1.114}


Entry 5:
{"formula": "AgAsSeBr2", "functional": "PBE", "state": "optimized geometry", "cell": [[5.1293, 0.0000, 0.0000], [0.0000, 5.1293, 0.0000], [0.0000, 0.0000, 5.3658]], "species": ["As", "Se", "Br", "Br", "Ag"], "frac_coords": [[0.5000, 0.5000, 0.5000], [0.0000, 0.0000, 0.5000], [0.0000, 0.5000, 0.0000], [0.5000, 0.0000, 0.0000], [0.0000, 0.0000, 0.0000]], "formation_energy_uncorrected_mev_per_atom": 558}


Entry 6:
{"formula": "TaCdI2O", "functional": "PBE", "state": "optimized geometry", "cell": [[-4.9305, 1.3017, -2.8773], [-2.9962, -0.2422, 5.0246], [0.6667, 3.8097, 0.5812]], "species": ["I", "I", "Cd", "O", "Ta"], "frac_coords": [[0.0000, 0.5000, 0.0000], [0.5000, 0.0000, 0.0000], [0.5000, 0.5000, 0.5000], [0.0000, 0.0000, 0.5000], [0.0000, 0.0000, 0.0000]], "formation_energy_uncorrected_mev_per_atom": -607}


Entry 7:
{"formula": "GaSn2Au", "functional": "PBE", "state": "optimized geometry", "cell": [[6.4796, 0.0000, 0.0000], [0.0000, 6.4796, 0.0000], [3.2398, 3.2398, 5.7627]], "species": ["Au", "Au", "Sn", "Sn", "Sn", "Sn", "Ga", "Ga"], "frac_coords": [[0.0000, 0.0000, 0.0000], [0.7500, 0.2500, 0.5000], [0.6240, 0.1250, 0.2500], [0.1260, 0.6250, 0.2500], [0.3750, 0.3760, 0.7500], [0.8750, 0.8740, 0.7500], [0.5000, 0.5000, 0.0000], [0.2500, 0.7500, 0.5000]], "delta_e_f_ev_per_atom": 0.139}


Entry 8:
{"formula": "ScFeSb2I", "functional": "PBE", "state": "optimized geometry", "cell": [[4.9167, 0.0000, 0.0000], [0.0000, 4.9167, 0.0000], [0.0000, 0.0000, 5.5645]], "species": ["I", "Sb", "Sb", "Sc", "Fe"], "frac_coords": [[0.0000, 0.0000, 0.5000], [0.0000, 0.5000, 0.0000], [0.5000, 0.0000, 0.0000], [0.5000, 0.5000, 0.5000], [0.0000, 0.0000, 0.0000]], "formation_energy_uncorrected_mev_per_atom": 312}


Entry 9:
{"formula": "ThAs3Rh5", "functional": "PBE", "state": "optimized geometry", "cell": [[-2.8489, -1.5284, 2.3267], [4.6395, -4.6144, -0.7598], [5.9914, 4.3460, 10.1912]], "species": ["Th", "Th", "As", "As", "As", "As", "As", "As", "Rh", "Rh", "Rh", "Rh", "Rh", "Rh", "Rh", "Rh", "Rh", "Rh"], "frac_coords": [[0.8229, 0.6459, 0.7500], [0.1771, 0.3541, 0.2500], [0.3870, 0.7741, 0.9524], [0.8974, 0.7948, 0.2500], [0.3870, 0.7741, 0.5476], [0.6130, 0.2259, 0.4524], [0.1026, 0.2052, 0.7500], [0.6130, 0.2259, 0.0476], [0.7940, 0.5881, 0.4192], [0.2060, 0.4119, 0.9192], [0.0000, 0.0000, 0.5000], [0.0000, 0.0000, 0.0000], [0.4414, 0.8828, 0.1408], [0.5586, 0.1172, 0.8592], [0.5586, 0.1172, 0.6408], [0.7940, 0.5881, 0.0808], [0.2060, 0.4119, 0.5808], [0.4414, 0.8828, 0.3592]], "delta_e_f_ev_per_atom": -0.613}


Entry 10:
{"formula": "CePa2Ni6", "functional": "PBE", "state": "optimized geometry", "cell": [[-2.1266, -2.1254, 1.5881], [1.8044, -6.7495, -2.9767], [4.6916, -5.1298, 3.0571]], "species": ["Ce", "Pa", "Pa", "Ni", "Ni", "Ni", "Ni", "Ni", "Ni"], "frac_coords": [[0.5000, 0.5000, 0.5000], [0.3559, 0.1441, 0.1441], [0.6441, 0.8559, 0.8559], [0.1788, 0.5177, 0.1247], [0.8212, 0.4823, 0.8753], [0.8212, 0.8753, 0.4823], [0.0000, 0.1825, 0.8175], [0.0000, 0.8175, 0.1825], [0.1788, 0.1247, 0.5177]], "delta_e_f_ev_per_atom": -0.270}


Entry 11:
{"formula": "Ba2Sr3Ca6", "functional": "PBE", "state": "optimized geometry", "cell": [[-7.2395, -10.6063, -6.1968], [1.7690, -4.3561, -11.0148], [1.9960, -3.5491, 0.9341]], "species": ["Ba", "Ba", "Sr", "Sr", "Sr", "Ca", "Ca", "Ca", "Ca", "Ca", "Ca"], "frac_coords": [[0.1946, 0.6109, 0.5000], [0.8054, 0.3891, 0.5000], [0.0000, 0.0000, 0.0000], [0.3928, 0.2145, 0.0000], [0.6072, 0.7855, 0.0000], [0.4226, 0.6683, 0.7434], [0.7527, 0.0000, 0.7471], [0.0909, 0.3317, 0.7434], [0.2473, 0.0000, 0.2529], [0.5774, 0.3317, 0.2566], [0.9091, 0.6683, 0.2566]], "delta_e_f_ev_per_atom": 0.055}


| no. | calculated density (g cm⁻³) | Fermi-level density of states (states/eV per atom) |
| --- | --- | --- |
| 1 | 5.35 | 0.66 |
| 2 | 5.64 | 0.17 |
| 3 | 4.13 | 0.37 |
| 4 | 9.68 | 1.08 |
| 5 | 4.96 | 0.57 |
| 6 | 6.97 | 0.64 |
| 7 | 6.92 | 0.60 |
| 8 | 5.82 | 1.20 |
| 9 | 10.24 | 0.35 |
| 10 | 10.33 | 1.08 |
| 11 | 2.36 | 0.97 |